The following is a DFT calculation (PBE) of a relaxed Y3MgRh crystal.

Properties
The value obtained for the total energy is -5.91 eV/atom. The density of states at the Fermi level comes out at 1.15 states/eV per atom. Its formation energy is -241 meV/atom.

Unit cell a=5.383 b=5.383 c=5.383 alpha=90.00 beta=90.00 gamma=90.00
Atoms (fractional coordinates):
Y 0.000 0.000 0.500
Y 0.000 0.500 0.000
Y 0.500 0.000 0.000
Mg 0.500 0.500 0.500
Rh 0.000 0.000 0.000